Record 1
# MgTiAsO6 (PBE, optimized geometry)
# Crystal system   trigonal
data_MgTiAsO6
_symmetry_space_group_name_H-M 'P -3 1 c'
_symmetry_Int_Tables_number 163
_symmetry_space_group_name_Hall '-P 3 2c'
_cell_length_a 5.0251
_cell_length_b 5.0251
_cell_length_c 8.8848
_cell_angle_alpha 90.00
_cell_angle_beta 90.00
_cell_angle_gamma 120.00
loop_
_atom_site_label
_atom_site_fract_x
_atom_site_fract_y
_atom_site_fract_z
Mg1 0.0000 0.0000 0.0000
Ti1 0.3333 0.6667 0.2500
As1 0.3333 0.6667 0.7500
O1 0.0177 0.3640 0.6356



Record 2
# TbPrIrI (PBE, optimized geometry)
# Crystal system   trigonal
data_TbPrIrI
_symmetry_space_group_name_H-M 'R 3 m'
_symmetry_Int_Tables_number 160
_symmetry_space_group_name_Hall 'R 3 -2"'
_cell_length_a 4.1834
_cell_length_b 4.1834
_cell_length_c 24.2427
_cell_angle_alpha 90.00
_cell_angle_beta 90.00
_cell_angle_gamma 120.00
loop_
_atom_site_label
_atom_site_fract_x
_atom_site_fract_y
_atom_site_fract_z
Tb1 0.0000 0.0000 0.0000
Pr1 0.0000 0.0000 0.7876
Ir1 0.0000 0.0000 0.3908
I1 0.0000 0.0000 0.5638



Record 3
# Tb3Y5Ho (PBE, optimized geometry)
# Crystal system   hexagonal
# E above lowest polymorph   0.0 meV per atom
# Formation enthalpy at 0 K   0.051 eV per atom
data_Tb3Y5Ho
_symmetry_space_group_name_H-M 'P 63/m c m'
_symmetry_Int_Tables_number 193
_symmetry_space_group_name_Hall '-P 6c 2'
_cell_length_a 9.7363
_cell_length_b 9.7363
_cell_length_c 7.0390
_cell_angle_alpha 90.00
_cell_angle_beta 90.00
_cell_angle_gamma 120.00
loop_
_atom_site_label
_atom_site_fract_x
_atom_site_fract_y
_atom_site_fract_z
Tb1 0.0000 0.3591 0.2500
Y1 0.0000 0.3061 0.7500
Y2 0.3333 0.6667 0.0000
Ho1 0.0000 0.0000 0.0000



Record 4
# ReNiP2 (PBE, optimized geometry)
# Crystal system   monoclinic
# E above lowest polymorph   86.4 meV per atom
# Formation enthalpy at 0 K   -0.172 eV per atom
data_ReNiP2
_symmetry_space_group_name_H-M 'C 1 m 1'
_symmetry_Int_Tables_number 8
_cell_length_a 7.454
_cell_length_b 3.115
_cell_length_c 4.988
_cell_angle_alpha 90.00
_cell_angle_beta 103.44
_cell_angle_gamma 90.00
loop_
_symmetry_equiv_pos_as_xyz
'x,y,z'
'x,-y,z'
'x+1/2,y+1/2,z'
'x+1/2,-y+1/2,z'
loop_
_atom_site_label
_atom_site_fract_x
_atom_site_fract_y
_atom_site_fract_z
Re1 0.000 0.000 0.000
Ni1 0.209 0.000 0.546
P1 0.010 0.500 0.644
P2 0.236 0.500 0.199



Number 1: total energy -61.6 eV per formula unit. Number 2: total energy -23.6 eV per formula unit. Number 3: total energy -50.3 eV per formula unit. Number 4: total energy -29.7 eV per formula unit.